A) Here is a geometry-optimized PrTm4Sc4 structure from the Alexandria database. Energies are from PBE.

Unit cell a=6.754 b=6.754 c=11.757 alpha=90.00 beta=90.00 gamma=90.00
Atoms (fractional coordinates):
Pr 0.250 0.750 0.250
Pr 0.750 0.250 0.750
Tm 0.009 0.250 0.024
Tm 0.250 0.009 0.524
Tm 0.250 0.491 0.524
Tm 0.491 0.250 0.024
Tm 0.509 0.750 0.976
Tm 0.750 0.509 0.476
Tm 0.750 0.991 0.476
Tm 0.991 0.750 0.976
Sc 0.031 0.250 0.307
Sc 0.250 0.031 0.807
Sc 0.250 0.469 0.807
Sc 0.469 0.250 0.307
Sc 0.531 0.750 0.693
Sc 0.750 0.531 0.193
Sc 0.750 0.969 0.193
Sc 0.969 0.750 0.693

Output
**D(E_F)**: 1.808 states/eV/atom

B) Here is a geometry-optimized PrTm4Sc4 structure from the Alexandria database. Energies are from PBE.

Unit cell a=7.638 b=7.638 c=7.638 alpha=95.67 beta=95.67 gamma=143.36
Atoms (fractional coordinates):
Pr 0.000 0.000 0.000
Tm 0.000 0.331 0.331
Tm 0.000 0.669 0.669
Tm 0.331 0.000 0.331
Tm 0.669 0.000 0.669
Sc 0.331 0.331 0.663
Sc 0.331 0.669 0.000
Sc 0.669 0.331 0.000
Sc 0.669 0.669 0.337

Output
**D(E_F)**: 1.519 states/eV/atom

Of them, A) has the lowest stability.

A) Here is a geometry-optimized PrTm6Sc2 structure from the Alexandria database. Energies are from PBE.

Unit cell a=7.740 b=7.740 c=10.395 alpha=103.21 beta=103.21 gamma=25.89
Atoms (fractional coordinates):
Pr 0.000 0.000 0.000
Tm 0.002 0.002 0.334
Tm 0.330 0.330 0.114
Tm 0.331 0.331 0.443
Tm 0.669 0.669 0.557
Tm 0.670 0.670 0.886
Tm 0.998 0.998 0.666
Sc 0.332 0.332 0.775
Sc 0.668 0.668 0.225

Output
**D(E_F)**: 1.419 states/eV/atom

B) Here is a geometry-optimized PrTm6Sc2 structure from the Alexandria database. Energies are from PBE.

Unit cell a=3.500 b=3.500 c=25.387 alpha=90.00 beta=90.00 gamma=120.00
Atoms (fractional coordinates):
Pr 0.000 0.000 0.000
Tm 0.000 0.000 0.228
Tm 0.000 0.000 0.434
Tm 0.000 0.000 0.566
Tm 0.000 0.000 0.772
Tm 0.333 0.667 0.117
Tm 0.333 0.667 0.883
Sc 0.333 0.667 0.331
Sc 0.333 0.667 0.669

Output
**D(E_F)**: 1.895 states/eV/atom

Of them, B) has the lowest stability.

A) Here is a geometry-optimized PrTm4Sc structure from the Alexandria database. Energies are from PBE.

Unit cell a=3.394 b=5.724 c=9.663 alpha=90.00 beta=90.00 gamma=90.00
Atoms (fractional coordinates):
Pr 0.000 0.000 0.000
Tm 0.000 0.500 0.200
Tm 0.000 0.500 0.800
Tm 0.500 0.000 0.321
Tm 0.500 0.000 0.679
Sc 0.500 0.500 0.500

Output
**D(E_F)**: 2.036 states/eV/atom

B) Here is a geometry-optimized PrTm4Sc structure from the Alexandria database. Energies are from PBE.

Unit cell a=8.414 b=8.414 c=6.224 alpha=99.85 beta=99.85 gamma=117.16
Atoms (fractional coordinates):
Pr 0.086 0.914 0.750
Pr 0.914 0.086 0.250
Tm 0.085 0.340 0.878
Tm 0.211 0.596 0.464
Tm 0.340 0.085 0.378
Tm 0.404 0.789 0.036
Tm 0.596 0.211 0.964
Tm 0.660 0.915 0.622
Tm 0.789 0.404 0.536
Tm 0.915 0.660 0.122
Sc 0.499 0.501 0.250
Sc 0.501 0.499 0.750

Output
**D(E_F)**: 1.916 states/eV/atom

Of them, A) has the lowest stability.